(1)
Computed, not measured: a geometry-optimized PrMg2 structure at the GGA-PBE level of DFT.

The value obtained for the total energy is -2.690 eV/atom. Its spin magnetization is 0.00 μB per cell.

a = 13.2002 Å, b = 4.8217 Å, c = 5.1518 Å
α = 90.00°, β = 90.00°, γ = 90.00°
Closest atoms and distances in Å follow each position.
Element x y z (fractional)
Mg (0.3169, 0.0000, 0.0000)  4 Mg 3.09-3.37
Mg (0.9630, 0.0000, 0.0000)  4 Mg 3.09-3.37, 4 Pr 3.22-3.25
Mg (0.4629, 0.5000, 0.0000)  4 Mg 3.09-3.37, 4 Pr 3.22-3.25
Mg (0.8168, 0.5000, 0.0000)  4 Mg 3.09-3.37
Mg (0.1276, 0.0000, 0.5000)  4 Mg 3.09-3.37
Mg (0.4815, 0.0000, 0.5000)  4 Mg 3.09-3.37, 4 Pr 3.22-3.25
Mg (0.6276, 0.5000, 0.5000)  4 Mg 3.09-3.37
Mg (0.9815, 0.5000, 0.5000)  4 Mg 3.09-3.37, 4 Pr 3.22-3.25
Pr (0.6285, 0.0000, 0.0000)  10 Mg 3.22-3.53, 2 Pr 3.57
Pr (0.1284, 0.5000, 0.0000)  10 Mg 3.22-3.53, 2 Pr 3.57
Pr (0.8160, 0.0000, 0.5000)  10 Mg 3.22-3.53, 2 Pr 3.57
Pr (0.3160, 0.5000, 0.5000)  10 Mg 3.22-3.53, 2 Pr 3.57


(2)
Computed, not measured: a geometry-optimized Tl2IrO4 structure at the GGA-PBE level of DFT.

The value obtained for the total energy is -5.225 eV/atom. Its spin magnetization is 1.27 μB per cell.

a = 6.9924 Å, b = 6.9924 Å, c = 6.9924 Å
α = 120.00°, β = 89.99°, γ = 120.00°
Closest atoms and distances in Å follow each position.
Element x y z (fractional)
Ir (0.0000, 0.0000, 0.0000)  4 O 1.84
Ir (0.7500, 0.5000, 0.2500)  4 O 1.84
O (0.1075, 0.2151, 0.3225)  1 Ir 1.84
O (0.0725, 0.7151, 0.3575)  1 Ir 1.84
O (0.6424, 0.2849, 0.3575)  1 Ir 1.84
O (0.6425, 0.7151, 0.3576)  1 Ir 1.84
O (0.1075, 0.7849, 0.8924)  1 Ir 1.84
O (0.1076, 0.2151, 0.8925)  1 Ir 1.84
O (0.6775, 0.7849, 0.8925)  1 Ir 1.84
O (0.6425, 0.2849, 0.9275)  1 Ir 1.84
Tl (0.3750, 0.7500, 0.1250)  6 O 2.66
Tl (0.3750, 0.7500, 0.6250)  6 O 2.66
Tl (0.3750, 0.2500, 0.6250)  6 O 2.66
Tl (0.8750, 0.2500, 0.6250)  6 O 2.66


(3)
Computed, not measured: a geometry-optimized PmSmPt structure at the GGA-PBE level of DFT.

The value obtained for the total energy is -5.289 eV/atom. Its spin magnetization is 0.00 μB per cell. For the formation energy from the elements, the calculation gives -0.12 eV per atom.

a = 4.8212 Å, b = 4.8212 Å, c = 4.8212 Å
α = 60.00°, β = 60.00°, γ = 60.00°
Closest atoms and distances in Å follow each position.
Element x y z (fractional)
Pm (0.2500, 0.2500, 0.2500)  4 Sm 2.95
Pt (0.7500, 0.7500, 0.7500)  4 Sm 2.95
Sm (0.0000, 0.0000, 0.0000)  4 Pt 2.95, 4 Pm 2.95


(4)
Computed, not measured: a geometry-optimized KGe5W3 structure at the GGA-PBE level of DFT.

The value obtained for the total energy is -6.857 eV/atom. Its spin magnetization is 0.01 μB per cell.

a = 5.3532 Å, b = 5.3532 Å, c = 8.3154 Å
α = 90.00°, β = 90.00°, γ = 120.00°
Closest atoms and distances in Å follow each position.
Element x y z (fractional)
Ge (0.6667, 0.3333, 0.2296)  3 W 2.73
Ge (0.3333, 0.6667, 0.2296)  3 W 2.73
Ge (0.0000, 0.0000, 0.5000)  6 W 2.68
Ge (0.6667, 0.3333, 0.7704)  3 W 2.73
Ge (0.3333, 0.6667, 0.7704)  3 W 2.73
K (0.0000, 0.0000, 0.0000)  12 Ge 3.63
W (0.5000, 0.0000, 0.5000)  4 W 2.68, 6 Ge 2.68-2.73
W (0.0000, 0.5000, 0.5000)  6 Ge 2.68-2.73, 4 W 2.68
W (0.5000, 0.5000, 0.5000)  6 Ge 2.68-2.73, 4 W 2.68


(5)
Computed, not measured: a geometry-optimized LuGaPO structure at the GGA-PBE level of DFT.

The value obtained for the total energy is -6.071 eV/atom. For the distance to the lowest polymorph of the same formula, the calculation gives 0 meV per atom. Its spin magnetization is 0.01 μB per cell.

a = 3.9796 Å, b = 3.9796 Å, c = 8.4562 Å
α = 90.00°, β = 90.00°, γ = 90.00°
Closest atoms and distances in Å follow each position.
Element x y z (fractional)
Ga (0.7500, 0.2500, 0.5000)  4 P 2.48
Ga (0.2500, 0.7500, 0.5000)  4 P 2.48
Lu (0.2500, 0.2500, 0.1139)  4 O 2.21
Lu (0.7500, 0.7500, 0.8861)  4 O 2.21
O (0.7500, 0.2500, 0.0000)  4 Lu 2.21
O (0.2500, 0.7500, 0.0000)  4 Lu 2.21
P (0.7500, 0.7500, 0.3242)  4 Ga 2.48
P (0.2500, 0.2500, 0.6758)  4 Ga 2.48


(6)
Computed, not measured: a geometry-optimized BaPdO3 structure at the GGA-PBE level of DFT.

The value obtained for the total energy is -5.643 eV/atom.

a = 4.0815 Å, b = 4.0815 Å, c = 4.0887 Å
α = 90.00°, β = 90.00°, γ = 90.00°
Closest atoms and distances in Å follow each position.
Element x y z (fractional)
Ba (0.0000, 0.0000, 0.5000)  12 O 2.89
O (0.5000, 0.0000, 0.0000)  2 Pd 2.04
O (0.0000, 0.5000, 0.0000)  2 Pd 2.04
O (0.5000, 0.5000, 0.5000)  2 Pd 2.04
Pd (0.5000, 0.5000, 0.0000)  6 O 2.04